DFT (PBE) results for a relaxed structure of SrIrC2F.

Cell and atoms, written as extended XYZ:
```
5
Lattice="4.8481 0.0000 0.0000 0.0000 4.8481 0.0000 0.0000 0.0000 5.6594" Properties=species:S:1:pos:R:3 pbc="T T T"
Sr 0.0000 0.0000 0.0000
Ir 0.0000 0.0000 2.8297
C 0.0000 2.4240 0.0000
C 2.4240 0.0000 0.0000
F 2.4240 2.4240 2.8297
```

Space-group type: P4/mmm (123)
Final energy: -0.1069 hartree per atom
Energy relative to the elements, uncorrected: 3.264 eV per atom

=====

DFT (PBE) results for a relaxed structure of K2CF.

Cell and atoms, written as extended XYZ:
```
4
Lattice="0.0000 3.4852 3.4852 3.4852 0.0000 3.4852 3.4852 3.4852 0.0000" Properties=species:S:1:pos:R:3 pbc="T T T"
K 1.7426 1.7426 1.7426
K 5.2278 5.2278 5.2278
C 0.0000 0.0000 0.0000
F 3.4852 3.4852 3.4852
```

Space-group type: Fm-3m (225)
Energy relative to the lowest polymorph listed for this composition: 0.053 eV per atom
Final energy: -0.1255 hartree per atom
Energy relative to the elements, uncorrected: -0.091 eV per atom

=====

DFT (PBE) results for a relaxed structure of KC2F2.

Cell and atoms, written as extended XYZ:
```
10
Lattice="6.7929 0.0000 0.0000 0.0000 6.7929 0.0000 0.0000 0.0000 3.3919" Properties=species:S:1:pos:R:3 pbc="T T T"
K 0.0000 0.0000 0.0000
K 3.3965 3.3965 0.0000
C 0.4911 2.9053 1.6960
C 2.9053 6.3018 1.6960
C 3.8876 0.4911 1.6960
C 6.3018 3.8876 1.6960
F 0.8412 4.2377 0.0000
F 2.5552 0.8412 0.0000
F 4.2377 5.9517 0.0000
F 5.9517 2.5552 0.0000
```

Space-group type: P4/mbm (127)
Energy relative to the lowest polymorph listed for this composition: 0.000 eV per atom
Final energy: -0.1575 hartree per atom
Energy relative to the elements, uncorrected: 0.373 eV per atom

=====

DFT (PBE) results for a relaxed structure of KCF2.

Cell and atoms, written as extended XYZ:
```
4
Lattice="1.9067 1.1008 6.3836 -1.9067 1.1008 6.3836 0.0000 -2.2017 6.3836" Properties=species:S:1:pos:R:3 pbc="T T T"
K 0.0000 0.0000 0.0000
C 0.0000 0.0000 9.5755
F 0.0000 0.0000 7.8081
F 0.0000 0.0000 11.3428
```

Space-group type: R-3m (166)
Energy relative to the lowest polymorph listed for this composition: 0.000 eV per atom
Final energy: -0.1407 hartree per atom
Energy relative to the elements, uncorrected: -0.313 eV per atom